*a*
Fe8Ir | PBE-GGA | relaxed

Values from the calculation:
**Calculated density**: 10.4 g cm⁻³
**DOS at the Fermi energy**: 25.22 states/eV/cell
**Magnetic moment**: 0.4 μB/f.u.

a = 7.5494 Å, b = 7.5494 Å, c = 3.5911 Å
α = 90.00°, β = 90.00°, γ = 90.00°
With the nearest neighbours (Å) after each atom.
Space group I4/mmm (No. 139)
Inequivalent atoms, fractional coordinates:
Fe 0.0000 0.3397 0.0000 x8  11 Fe 2.42-2.55, 1 Ir 2.56
Fe 0.1705 0.1705 0.5000 x8  10 Fe 2.47-2.57, 2 Ir 2.56
Ir 0.0000 0.0000 0.0000 x2  12 Fe 2.56



*b*
Fe8Ir | PBE-GGA | relaxed

Values from the calculation:
**Calculated density**: 9.8 g cm⁻³
**DOS at the Fermi energy**: 13.84 states/eV/cell
**Magnetic moment**: 20.4 μB/f.u.

a = 8.7160 Å, b = 8.7160 Å, c = 2.8593 Å
α = 90.00°, β = 90.00°, γ = 90.00°
With the nearest neighbours (Å) after each atom.
Space group I4/mmm (No. 139)
Inequivalent atoms, fractional coordinates:
Fe 0.0000 0.3351 0.0000 x8  8 Fe 2.48-2.51
Fe 0.1707 0.1707 0.5000 x8  6 Fe 2.42-2.51, 2 Ir 2.54
Ir 0.0000 0.0000 0.0000 x2  8 Fe 2.54



Which structure wins on stability? *b* wins.



*a*
Fe4Ir3 | PBE-GGA | relaxed

Values from the calculation:
**Calculated density**: 13.2 g cm⁻³
**DOS at the Fermi energy**: 8.36 states/eV/cell
**Magnetic moment**: 11.2 μB/f.u.

a = 5.0815 Å, b = 5.0815 Å, c = 4.4943 Å
α = 90.00°, β = 90.00°, γ = 120.00°
With the nearest neighbours (Å) after each atom.
Space group P6/mmm (No. 191)
Inequivalent atoms, fractional coordinates:
Fe 0.0000 0.0000 0.2488 x2  2 Fe 2.24-2.26
Fe 0.3333 0.6667 0.0000 x2  6 Ir 2.68, 3 Fe 2.93
Ir 0.0000 0.5000 0.5000 x3  4 Ir 2.54, 8 Fe 2.68-2.78



*b*
Fe4Ir3 | PBE-GGA | relaxed

Values from the calculation:
**Calculated density**: 14.5 g cm⁻³
**DOS at the Fermi energy**: 14.45 states/eV/cell
**Magnetic moment**: 11.7 μB/f.u.

a = 2.8583 Å, b = 2.8583 Å, c = 22.4296 Å
α = 90.00°, β = 90.00°, γ = 90.00°
With the nearest neighbours (Å) after each atom.
Space group I4/mmm (No. 139)
Inequivalent atoms, fractional coordinates:
Fe 0.0000 0.0000 0.0727 x4  4 Fe 2.47, 4 Ir 2.60
Fe 0.0000 0.0000 0.3644 x4  4 Fe 2.47, 4 Ir 2.59
Ir 0.0000 0.0000 0.2078 x4  4 Fe 2.59, 8 Ir 2.77-2.86
Ir 0.0000 0.0000 0.5000 x2  8 Fe 2.60, 4 Ir 2.86



Which structure wins on stability? *b* wins.



*a*
KFeIr | PBE-GGA | relaxed

Values from the calculation:
**Calculated density**: 7.1 g cm⁻³
**DOS at the Fermi energy**: 8.68 states/eV/cell
**Magnetic moment**: 0.0 μB/f.u.

a = 4.5020 Å, b = 4.5020 Å, c = 7.6221 Å
α = 90.00°, β = 90.00°, γ = 120.00°
With the nearest neighbours (Å) after each atom.
Space group P-6m2 (No. 187)
Inequivalent atoms, fractional coordinates:
K 0.0000 0.0000 0.0000 x1  6 Fe 2.81, 6 Ir 2.88
K 0.0000 0.0000 0.5000 x1  6 Ir 3.65, 6 Fe 3.79, 2 K 3.81
Fe 0.6667 0.3333 0.1387 x2  1 Fe 2.11
Ir 0.3333 0.6667 0.1634 x2  1 Ir 2.49, 3 Fe 2.61



*b*
KFeIr | PBE-GGA | relaxed

Values from the calculation:
**Calculated density**: 8.7 g cm⁻³
**DOS at the Fermi energy**: 8.74 states/eV/cell
**Magnetic moment**: 3.6 μB/f.u.

a = 2.9749 Å, b = 4.7289 Å, c = 15.6303 Å
α = 90.00°, β = 90.00°, γ = 90.00°
With the nearest neighbours (Å) after each atom.
Space group Fmm2 (No. 42)
Inequivalent atoms, fractional coordinates:
K 0.0000 0.0000 0.0000 x4  6 K 2.79-2.97
Fe 0.0000 0.0000 0.3063 x4  2 Ir 2.51, 4 Fe 2.79
Ir 0.0000 0.0000 0.6771 x4  2 Fe 2.51, 4 Ir 2.79



*c*
KFeIr | PBE-GGA | relaxed

Values from the calculation:
**Calculated density**: 7.1 g cm⁻³
**DOS at the Fermi energy**: 7.06 states/eV/cell
**Magnetic moment**: 3.2 μB/f.u.

a = 5.0370 Å, b = 4.4170 Å, c = 6.3494 Å
α = 90.00°, β = 108.20°, γ = 90.00°
With the nearest neighbours (Å) after each atom.
Space group Pm (No. 6)
Inequivalent atoms, fractional coordinates:
K 0.0000 0.0000 0.0000 x1  2 Fe 3.10-3.31, 4 K 3.29-3.43, 2 Ir 3.39-3.46
K 0.4952 0.5000 0.0345 x1  2 Ir 3.19-3.45, 1 Fe 3.26, 4 K 3.29-3.43
Fe 0.1597 0.5000 0.5036 x1  4 Ir 2.47-2.62, 2 Fe 2.53
Fe 0.9128 0.0000 0.4954 x1  4 Ir 2.47-2.59, 2 Fe 2.53
Ir 0.4162 0.0000 0.5346 x1  4 Fe 2.47-2.59, 2 Ir 2.60
Ir 0.6984 0.5000 0.5627 x1  4 Fe 2.47-2.62, 2 Ir 2.60



*d*
KFeIr | PBE-GGA | relaxed

Values from the calculation:
**Calculated density**: 7.3 g cm⁻³
**DOS at the Fermi energy**: 8.72 states/eV/cell
**Magnetic moment**: 2.9 μB/f.u.

a = 2.7329 Å, b = 4.0237 Å, c = 11.8652 Å
α = 90.00°, β = 90.00°, γ = 90.00°
With the nearest neighbours (Å) after each atom.
Space group Imm2 (No. 44)
Inequivalent atoms, fractional coordinates:
K 0.0000 0.0000 0.0000 x2  2 K 2.73
Fe 0.0000 0.0000 0.7313 x2  4 Ir 2.49, 2 Fe 2.73
Ir 0.0000 0.0000 0.2770 x2  4 Fe 2.49, 2 Ir 2.73



Which structure wins on stability? *c* wins.



*a*
KFeIr | PBE-GGA | relaxed

Values from the calculation:
**Calculated density**: 6.6 g cm⁻³
**DOS at the Fermi energy**: 7.77 states/eV/cell
**Magnetic moment**: 2.4 μB/f.u.

a = 4.3957 Å, b = 4.3957 Å, c = 7.4992 Å
α = 90.00°, β = 90.00°, γ = 90.00°
With the nearest neighbours (Å) after each atom.
Space group P4/nmm (No. 129, origin choice 2)
Inequivalent atoms, fractional coordinates:
K 0.2500 0.2500 0.1504 x2  4 Fe 3.42, 5 Ir 3.53-3.58
Fe 0.2500 0.7500 0.5000 x2  4 Ir 2.40
Ir 0.2500 0.2500 0.6275 x2  4 Fe 2.40



*b*
KFeIr | PBE-GGA | relaxed

Values from the calculation:
**Calculated density**: 6.7 g cm⁻³
**DOS at the Fermi energy**: 13.22 states/eV/cell
**Magnetic moment**: 0.0 μB/f.u.

a = 6.5094 Å, b = 5.6935 Å, c = 7.6766 Å
α = 90.00°, β = 90.83°, γ = 90.00°
With the nearest neighbours (Å) after each atom.
Space group C2/m (No. 12)
Inequivalent atoms, fractional coordinates:
K 0.2485 0.0000 0.1530 x4  4 Fe 3.33-3.54, 4 Ir 3.37-3.56, 2 K 3.69
Fe 0.0000 0.2884 0.5000 x4  4 Ir 2.30-2.42, 1 Fe 2.41
Ir 0.2100 0.0000 0.6150 x4  4 Fe 2.30-2.42



Which structure wins on stability? *b* wins.



*a*
KFeIr | PBE-GGA | relaxed

Values from the calculation:
**Calculated density**: 8.0 g cm⁻³
**DOS at the Fermi energy**: 8.50 states/eV/cell
**Magnetic moment**: 0.0 μB/f.u.

a = 7.8574 Å, b = 4.1748 Å, c = 7.2379 Å
α = 90.00°, β = 90.00°, γ = 90.00°
With the nearest neighbours (Å) after each atom.
Space group Pnma (No. 62)
Inequivalent atoms, fractional coordinates:
K 0.0053 0.2500 0.1456 x4  2 K 2.97, 3 Fe 3.10-3.18, 4 Ir 3.14-3.30
Fe 0.1465 0.7500 0.4228 x4  3 Ir 2.30-2.36
Ir 0.1459 0.2500 0.5752 x4  3 Fe 2.30-2.36



*b*
KFeIr | PBE-GGA | relaxed

Values from the calculation:
**Calculated density**: 6.5 g cm⁻³
**DOS at the Fermi energy**: 7.57 states/eV/cell
**Magnetic moment**: 0.5 μB/f.u.

a = 3.9103 Å, b = 3.9103 Å, c = 11.0993 Å
α = 90.00°, β = 90.00°, γ = 120.00°
With the nearest neighbours (Å) after each atom.
Space group P6_3/mmc (No. 194)
Inequivalent atoms, fractional coordinates:
K 0.0000 0.0000 0.0000 x2  6 Fe 3.58, 6 Ir 3.58, 6 K 3.91
Fe 0.3333 0.6667 0.2500 x2  3 Ir 2.26
Ir 0.3333 0.6667 0.7500 x2  3 Fe 2.26



*c*
KFeIr | PBE-GGA | relaxed

Values from the calculation:
**Calculated density**: 3.8 g cm⁻³
**DOS at the Fermi energy**: 8.17 states/eV/cell
**Magnetic moment**: 3.5 μB/f.u.

a = 5.7418 Å, b = 5.7418 Å, c = 8.8894 Å
α = 90.00°, β = 90.00°, γ = 120.00°
With the nearest neighbours (Å) after each atom.
Space group P6_3/mmc (No. 194)
Inequivalent atoms, fractional coordinates:
K 0.3333 0.6667 0.2500 x2  3 Fe 3.32
Fe 0.0000 0.0000 0.2500 x2  2 Ir 2.22
Ir 0.0000 0.0000 0.0000 x2  2 Fe 2.22



Which structure wins on stability? *b* wins.



*a*
LaFe2Ir2 | PBE-GGA | relaxed

Values from the calculation:
**Calculated density**: 13.6 g cm⁻³
**DOS at the Fermi energy**: 21.88 states/eV/cell
**Magnetic moment**: 0.0 μB/f.u.

a = 7.4951 Å, b = 7.4951 Å, c = 2.7656 Å
α = 90.00°, β = 90.00°, γ = 90.00°
With the nearest neighbours (Å) after each atom.
Space group P4/mbm (No. 127)
Inequivalent atoms, fractional coordinates:
La 0.0000 0.0000 0.0000 x2  2 La 2.77, 4 Fe 3.02, 8 Ir 3.09
Fe 0.1141 0.3859 0.0000 x4  1 Fe 2.42, 6 Ir 2.62
Ir 0.1759 0.6759 0.5000 x4  6 Fe 2.62, 2 Ir 2.77



*b*
LaFe2Ir2 | PBE-GGA | relaxed

Values from the calculation:
**Calculated density**: 11.7 g cm⁻³
**DOS at the Fermi energy**: 13.40 states/eV/cell
**Magnetic moment**: 6.1 μB/f.u.

a = 4.2177 Å, b = 4.2177 Å, c = 10.0970 Å
α = 90.00°, β = 90.00°, γ = 90.00°
With the nearest neighbours (Å) after each atom.
Space group I4/mmm (No. 139)
Inequivalent atoms, fractional coordinates:
La 0.0000 0.0000 0.0000 x2  8 Fe 3.22, 8 Ir 3.29
Fe 0.0000 0.0000 0.3810 x4  1 Fe 2.40, 4 Ir 2.49
Ir 0.0000 0.5000 0.2500 x4  4 Fe 2.49



Which structure wins on stability? *b* wins.



*a*
Li2Fe2Ir | PBE-GGA | relaxed

Values from the calculation:
**Calculated density**: 8.8 g cm⁻³
**DOS at the Fermi energy**: 5.83 states/eV/cell
**Magnetic moment**: 5.7 μB/f.u.

a = 3.4017 Å, b = 3.4017 Å, c = 10.3178 Å
α = 90.00°, β = 90.00°, γ = 90.00°
With the nearest neighbours (Å) after each atom.
Space group I4/mmm (No. 139)
Inequivalent atoms, fractional coordinates:
Li 0.0000 0.0000 0.0894 x4  1 Li 1.85
Fe 0.0000 0.5000 0.2500 x4  4 Li 2.37, 4 Fe 2.41
Ir 0.0000 0.0000 0.5000 x2  8 Li 2.58



*b*
Li2Fe2Ir | PBE-GGA | relaxed

Values from the calculation:
**Calculated density**: 9.6 g cm⁻³
**DOS at the Fermi energy**: 12.67 states/eV/cell
**Magnetic moment**: 0.2 μB/f.u.

a = 6.3815 Å, b = 6.3815 Å, c = 2.6932 Å
α = 90.00°, β = 90.00°, γ = 90.00°
With the nearest neighbours (Å) after each atom.
Space group P4/mbm (No. 127)
Inequivalent atoms, fractional coordinates:
Li 0.1118 0.3882 0.0000 x4  1 Li 2.02, 2 Fe 2.22
Fe 0.1923 0.6923 0.5000 x4  6 Li 2.22-2.42
Ir 0.0000 0.0000 0.0000 x2  4 Li 2.58, 8 Fe 2.68, 2 Ir 2.69



Which structure wins on stability? *a* wins.